No. 1
Compound: KBa2HgIr
Source: Alexandria via LeMat-Bulk
Functional: PBE
Structure: relaxed

* volume: 206 Å³/cell
* energy of formation: -0.070 eV/atom
* DOS at the Fermi energy: 0.4828 states/eV per atom
* total DFT energy (no corrections): -2.89 eV per atom
* SG: P4/mmm

Cell lengths 6.092, 6.092, 5.542 Å; angles 90.00, 90.00, 90.00 degrees
Sites, in units of the cell vectors:
K (0.000, 0.000, 0.000)
Ba (0.000, 0.500, 0.500)
Ba (0.500, 0.000, 0.500)
Hg (0.500, 0.500, 0.000)
Ir (0.500, 0.500, 0.500)

No. 2
Compound: Ba2LiHgIr
Source: Alexandria via LeMat-Bulk
Functional: PBE
Structure: relaxed

* volume: 179 Å³/cell
* energy of formation: -0.101 eV/atom
* DOS at the Fermi energy: 0.8945 states/eV per atom
* total DFT energy (no corrections): -3.09 eV per atom
* SG: P4/mmm

Cell lengths 6.020, 6.020, 4.928 Å; angles 90.00, 90.00, 90.00 degrees
Sites, in units of the cell vectors:
Ba (0.000, 0.500, 0.000)
Ba (0.500, 0.000, 0.000)
Li (0.000, 0.000, 0.500)
Hg (0.500, 0.500, 0.500)
Ir (0.000, 0.000, 0.000)

No. 3
Compound: BaMg2HgIr
Source: Alexandria via LeMat-Bulk
Functional: PBE
Structure: relaxed

* volume: 139 Å³/cell
* energy of formation: -0.245 eV/atom
* DOS at the Fermi energy: 0.2918 states/eV per atom
* total DFT energy (no corrections): -3.10 eV per atom
* SG: P4/mmm

Cell lengths 5.067, 5.067, 5.423 Å; angles 90.00, 90.00, 90.00 degrees
Sites, in units of the cell vectors:
Ba (0.000, 0.000, 0.000)
Mg (0.000, 0.500, 0.500)
Mg (0.500, 0.000, 0.500)
Hg (0.500, 0.500, 0.000)
Ir (0.500, 0.500, 0.500)

No. 4
Compound: Ba2MnHgIr
Source: Alexandria via LeMat-Bulk
Functional: PBE
Structure: relaxed

* volume: 201 Å³/cell
* energy of formation: 0.764 eV/atom
* DOS at the Fermi energy: 0.9100 states/eV per atom
* total DFT energy (no corrections): -3.67 eV per atom
* SG: P4/mmm

Cell lengths 6.292, 6.292, 5.078 Å; angles 90.00, 90.00, 90.00 degrees
Sites, in units of the cell vectors:
Ba (0.000, 0.500, 0.000)
Ba (0.500, 0.000, 0.000)
Mn (0.000, 0.000, 0.500)
Hg (0.500, 0.500, 0.000)
Ir (0.500, 0.500, 0.500)

No. 5
Compound: Ba6Hg2IrN
Source: Alexandria via LeMat-Bulk
Functional: PBE
Structure: relaxed

* volume: 769 Å³/cell
* DOS at the Fermi energy: 0.7094 states/eV per atom
* total DFT energy (no corrections): -3.23 eV per atom
* formation energy (no corrections): -29.0 kJ/mol of atoms
* SG: P2_1/c

Cell lengths 7.950, 8.381, 13.951 Å; angles 90.00, 124.20, 90.00 degrees
Sites, in units of the cell vectors:
Ba (0.150, 0.013, 0.238)
Ba (0.150, 0.487, 0.738)
Ba (0.227, 0.709, 0.043)
Ba (0.227, 0.791, 0.543)
Ba (0.334, 0.187, 0.042)
Ba (0.334, 0.313, 0.542)
Ba (0.666, 0.687, 0.458)
Ba (0.666, 0.813, 0.958)
Ba (0.773, 0.209, 0.457)
Ba (0.773, 0.291, 0.957)
Ba (0.850, 0.513, 0.262)
Ba (0.850, 0.987, 0.762)
Hg (0.283, 0.078, 0.750)
Hg (0.283, 0.422, 0.250)
Hg (0.717, 0.578, 0.750)
Hg (0.717, 0.922, 0.250)
Ir (0.500, 0.000, 0.500)
Ir (0.500, 0.500, 0.000)
N (0.000, 0.000, 0.000)
N (0.000, 0.500, 0.500)

No. 6
Compound: Ba6NaHgIr
Source: Alexandria via LeMat-Bulk
Functional: PBE
Structure: relaxed

* volume: 498 Å³/cell
* energy of formation: -0.146 eV/atom
* DOS at the Fermi energy: 0.7572 states/eV per atom
* total DFT energy (no corrections): -2.59 eV per atom
* SG: P312

Cell lengths 8.486, 8.486, 7.991 Å; angles 90.00, 90.00, 120.00 degrees
Sites, in units of the cell vectors:
Ba (0.047, 0.363, 0.224)
Ba (0.047, 0.684, 0.776)
Ba (0.316, 0.363, 0.776)
Ba (0.316, 0.953, 0.224)
Ba (0.637, 0.684, 0.224)
Ba (0.637, 0.953, 0.776)
Na (0.667, 0.333, 0.500)
Hg (0.000, 0.000, 0.000)
Ir (0.333, 0.667, 0.000)

No. 7
Compound: Ba2NaHgIr
Source: Alexandria via LeMat-Bulk
Functional: PBE
Structure: relaxed

* volume: 199 Å³/cell
* energy of formation: -0.108 eV/atom
* DOS at the Fermi energy: 0.6358 states/eV per atom
* total DFT energy (no corrections): -2.97 eV per atom
* SG: P4/mmm

Cell lengths 6.066, 6.066, 5.408 Å; angles 90.00, 90.00, 90.00 degrees
Sites, in units of the cell vectors:
Ba (0.000, 0.500, 0.000)
Ba (0.500, 0.000, 0.000)
Na (0.000, 0.000, 0.500)
Hg (0.500, 0.500, 0.500)
Ir (0.500, 0.500, 0.000)

No. 8
Compound: Ba6Na2HgIr
Source: Alexandria via LeMat-Bulk
Functional: PBE
Structure: relaxed

* volume: 1047 Å³/cell
* energy of formation: -0.166 eV/atom
* DOS at the Fermi energy: 0.6568 states/eV per atom
* total DFT energy (no corrections): -2.50 eV per atom
* SG: P2_1/c

Cell lengths 8.929, 9.072, 15.621 Å; angles 90.00, 124.19, 90.00 degrees
Sites, in units of the cell vectors:
Ba (0.180, 0.004, 0.236)
Ba (0.180, 0.496, 0.736)
Ba (0.211, 0.219, 0.523)
Ba (0.211, 0.281, 0.023)
Ba (0.309, 0.690, 0.528)
Ba (0.309, 0.810, 0.028)
Ba (0.691, 0.190, 0.972)
Ba (0.691, 0.310, 0.472)
Ba (0.789, 0.719, 0.977)
Ba (0.789, 0.781, 0.477)
Ba (0.820, 0.504, 0.264)
Ba (0.820, 0.996, 0.764)
Na (0.274, 0.549, 0.251)
Na (0.274, 0.951, 0.751)
Na (0.726, 0.049, 0.249)
Na (0.726, 0.451, 0.749)
Hg (0.500, 0.000, 0.500)
Hg (0.500, 0.500, 0.000)
Ir (0.000, 0.000, 0.000)
Ir (0.000, 0.500, 0.500)